Entry 1:
The following is a DFT calculation (PBE) of a relaxed structure of SiSbSe2Br.

The value obtained for the relative energy among the computed polymorphs is 0 meV/atom.

The space group is P4/mmm (No. 123) and the conventional cell measures 4.989, 4.989 and 4.873 Å, with angles of 90.00, 90.00 and 90.00 degrees. Symmetry generates all atoms from Si at (0.000, 0.000, 0.000), Sb at (0.500, 0.500, 0.500), Se at (0.000, 0.500, 0.000) and Br at (0.000, 0.000, 0.500).

Entry 2:
The following is a DFT calculation (PBE) of a relaxed structure of SiSbSe2Br.

The value obtained for the relative energy among the computed polymorphs is 384 meV/atom.

The space group is P4/mmm (No. 123) and the conventional cell measures 5.404, 5.404 and 5.338 Å, with angles of 90.00, 90.00 and 90.00 degrees. Symmetry generates all atoms from Si at (0.000, 0.000, 0.000), Sb at (0.500, 0.500, 0.500), Se at (0.000, 0.500, 0.500) and Br at (0.500, 0.500, 0.000).

Entry 3:
The following is a DFT calculation (PBE) of a relaxed structure of SnSbSe2Br.

The value obtained for the relative energy among the computed polymorphs is 469 meV/atom.

The space group is P4/mmm (No. 123) and the conventional cell measures 5.430, 5.430 and 5.386 Å, with angles of 90.00, 90.00 and 90.00 degrees. Symmetry generates all atoms from Sn at (0.000, 0.000, 0.000), Sb at (0.500, 0.500, 0.500), Se at (0.000, 0.500, 0.500) and Br at (0.500, 0.500, 0.000).

Entry 4:
The following is a DFT calculation (PBE) of a relaxed structure of SnSbSeBr2.

The value obtained for the relative energy among the computed polymorphs is 0 meV/atom.

The space group is P4/mmm (No. 123) and the conventional cell measures 5.548, 5.548 and 5.533 Å, with angles of 90.00, 90.00 and 90.00 degrees. Symmetry generates all atoms from Sn at (0.000, 0.000, 0.000), Sb at (0.500, 0.500, 0.500), Se at (0.500, 0.500, 0.000) and Br at (0.000, 0.500, 0.500).

Entry 5:
The following is a DFT calculation (PBE) of a relaxed structure of SnSbSe2Br.

The value obtained for the relative energy among the computed polymorphs is 0 meV/atom.

The space group is P2_1/m (No. 11) and the conventional cell measures 8.407, 4.051 and 11.214 Å, with angles of 90.00, 107.04 and 90.00 degrees. Symmetry generates all atoms from Sn at (0.033, 0.250, 0.165), Sb at (0.463, 0.750, 0.338), Se at (0.212, 0.750, 0.093), Se at (0.288, 0.250, 0.422) and Br at (0.343, 0.750, 0.747).

Entry 6:
The following is a DFT calculation (PBE) of a relaxed structure of SrSbSe2Br.

The value obtained for the relative energy among the computed polymorphs is 0 meV/atom.

The space group is P4/mmm (No. 123) and the conventional cell measures 5.472, 5.472 and 5.457 Å, with angles of 90.00, 90.00 and 90.00 degrees. Symmetry generates all atoms from Sr at (0.000, 0.000, 0.000), Sb at (0.500, 0.500, 0.500), Se at (0.000, 0.500, 0.500) and Br at (0.500, 0.500, 0.000).

Entry 7:
The following is a DFT calculation (PBE) of a relaxed structure of SrSbSe2Br.

The value obtained for the relative energy among the computed polymorphs is 707 meV/atom.

The space group is P4/mmm (No. 123) and the conventional cell measures 5.825, 5.825 and 5.542 Å, with angles of 90.00, 90.00 and 90.00 degrees. Symmetry generates all atoms from Sr at (0.000, 0.000, 0.000), Sb at (0.500, 0.500, 0.500), Se at (0.000, 0.500, 0.000) and Br at (0.000, 0.000, 0.500).

Entry 8:
The following is a DFT calculation (PBE) of a relaxed structure of TaSbSe2Br.

The value obtained for the relative energy among the computed polymorphs is 0 meV/atom.

The space group is P4/mmm (No. 123) and the conventional cell measures 5.076, 5.076 and 5.066 Å, with angles of 90.00, 90.00 and 90.00 degrees. Symmetry generates all atoms from Ta at (0.000, 0.000, 0.000), Sb at (0.500, 0.500, 0.500), Se at (0.000, 0.500, 0.000) and Br at (0.000, 0.000, 0.500).